[1]
VASP calculation (PBE-GGA) on an optimized crystal structure of NaAcSe.

Output
Uncorrected formation energy in eV/atom: -0.7575
E above lowest polymorph in meV/atom: 169.6

abc: 4.959 5.204 5.204
angles: 120.00 90.00 90.00
Atoms (fractional coordinates):
Na (0.669, 0.667, 0.333)
Se (0.162, 0.000, 0.000)
Ac (0.168, 0.333, 0.667)

***

[2]
VASP calculation (PBE-GGA) on an optimized crystal structure of YCo2Sb.

Output
Uncorrected formation energy in eV/atom: -0.1471

abc: 4.390 4.390 3.535
angles: 90.03 90.03 90.00
Atoms (fractional coordinates):
Sb (0.500, 0.000, 0.500)
Y (0.000, 0.500, 0.500)
Co (0.500, 0.500, 0.000)
Co (0.000, 0.000, 0.000)

***

Which formula does entry 1 have?
NaAcSe